Density functional theory data (PBE) for a geometry-optimized Pr5Sm4Dy structure.

Unit cell a=3.662 b=9.680 c=10.377 alpha=74.41 beta=89.91 gamma=79.15
Space group P-1 (No. 2)
Unique sites:
Pr  0.000  0.000  0.000 x1
Pr  0.200  0.600  0.100 x2
Pr  0.400  0.199  0.696 x2
Sm  0.199  0.601  0.600 x2
Sm  0.400  0.200  0.204 x2
Dy  0.000  0.000  0.500 x1

Computed properties:
Mass density = 7.0 g cm⁻³
ΔE to the lowest computed polymorph = 0.000 eV/atom
DFT formation energy = 15 kJ/mol of formula units